Material: PmMn2CuO6
Method: DFT, PBE+U
State: optimized geometry

Output
Total DFT energy (no corrections) in eV per atom: -7.052
Space-group type: P1 (1)
Magnetization in μB/atom: 0.600

a = 5.3432 Å, b = 5.3485 Å, c = 5.4792 Å
α = 60.88°, β = 60.91°, γ = 60.07°
Site moments in Bohr magnetons follow the coordinates.
Element x y z (fractional)
Pm1 0.7782 0.7777 0.6671  0.01
Mn1 0.5198 0.5199 0.4403  3.81
Mn2 0.0115 0.0115 0.9654  3.71
Cu1 0.3121 0.3113 0.0652  -0.65
O1 0.6400 0.2508 0.2221  -0.16
O2 0.2505 0.8856 0.2226  -0.16
O3 0.8854 0.6416 0.2208  -0.16
O4 0.3389 0.7392 0.7372  -0.16
O5 0.7401 0.1855 0.7358  -0.16
O6 0.1851 0.3385 0.7387  -0.16